Entry from Alexandria via LeMat-Bulk: crystalline NiSnO2 at its relaxed geometry (PBE with a Hubbard U).

abc: 5.8308 5.8308 5.8308
angles: 128.00 128.00 76.62
Atoms (fractional coordinates):
Ni: 0.0000 0.0000 0.0000
Ni: 0.7500 0.2500 0.5000
Sn: 0.2500 0.7500 0.5000
Sn: 0.5000 0.5000 0.0000
O: 0.1351 0.6250 0.0101
O: 0.3750 0.3851 0.5101
O: 0.6149 0.1250 0.9899
O: 0.8750 0.8649 0.4899

Properties
Raw total energy: -4.828 eV/atom
SG: No. 122
Magnetic moment: 1.00 μB/f.u.